Computed, not measured: a crystal of ScGaTe2N relaxed with PBEsol at the meta-GGA SCAN level of DFT.

Values from the calculation:
E_form (uncorrected)	0.1056	eV per atom

```
data_ScGaTe2N
_cell_length_a 5.704
_cell_length_b 5.704
_cell_length_c 3.866
_cell_angle_alpha 90.00
_cell_angle_beta 90.00
_cell_angle_gamma 90.00
_space_group_name_H-M_alt 'P 4/m m m'
_space_group_IT_number 123
_space_group_name_Hall '-P 4 2'
loop_
_atom_site_label
_atom_site_type_symbol
_atom_site_fract_x
_atom_site_fract_y
_atom_site_fract_z
Sc1 Sc 0.000 0.000 0.000
Ga1 Ga 0.500 0.500 0.500
Te1 Te 0.000 0.500 0.000
N1 N 0.000 0.000 0.500
```